The following is a DFT calculation (PBE) of a relaxed structure of LiVOs2. Values from VASP.

Summary:
Total magnetization (μB per formula unit): 0.00
E_form (eV per atom): 0.054

Quantum ESPRESSO input file:
```
&SYSTEM
  ibrav = 0, nat = 4, ntyp = 3
/
ATOMIC_SPECIES
Li 6.94 Li.upf
V 50.94 V.upf
Os 190.23 Os.upf
ATOMIC_POSITIONS crystal
Li 0.0000 0.0000 0.0000
V 0.0000 0.0000 0.5000
Os 0.5000 0.5000 0.2402
Os 0.5000 0.5000 0.7598
CELL_PARAMETERS angstrom
3.0168 0.0000 0.0000
0.0000 3.0168 0.0000
0.0000 0.0000 5.6884
```

***

The following is a DFT calculation (PBE) of a relaxed structure of Sn4PbSe8. Values from VASP.

Summary:
Total magnetization (μB per formula unit): 0.00
Formation energy from raw total energies (eV/f.u.): -4.78

Quantum ESPRESSO input file:
```
&SYSTEM
  ibrav = 0, nat = 13, ntyp = 3
/
ATOMIC_SPECIES
Sn 118.71 Sn.upf
Pb 207.20 Pb.upf
Se 78.96 Se.upf
ATOMIC_POSITIONS crystal
Sn 0.0000 0.0000 0.0000
Sn 0.0000 0.5000 0.5000
Sn 0.5000 0.0000 0.5000
Sn 0.5000 0.5000 0.0000
Pb 0.5000 0.5000 0.5000
Se 0.2428 0.2428 0.7354
Se 0.2428 0.7354 0.2428
Se 0.2625 0.2625 0.2625
Se 0.2646 0.7572 0.7572
Se 0.7354 0.2428 0.2428
Se 0.7375 0.7375 0.7375
Se 0.7572 0.2646 0.7572
Se 0.7572 0.7572 0.2646
CELL_PARAMETERS angstrom
3.9683 2.2911 7.3689
-3.9683 2.2911 7.3689
0.0000 -4.5822 7.3689
```

***

The following is a DFT calculation (PBE) of a relaxed structure of Mg3Al7Au4. Values from VASP.

Summary:
Total magnetization (μB per formula unit): 0.00
E_form (eV per atom): -0.349

Quantum ESPRESSO input file:
```
&SYSTEM
  ibrav = 0, nat = 14, ntyp = 3
/
ATOMIC_SPECIES
Mg 24.30 Mg.upf
Al 26.98 Al.upf
Au 196.97 Au.upf
ATOMIC_POSITIONS crystal
Mg 0.0000 0.0000 0.0000
Mg 0.3093 0.3093 0.3031
Mg 0.6907 0.6907 0.6969
Al 0.0000 0.0000 0.5000
Al 0.1666 0.1666 0.4353
Al 0.3228 0.3228 0.9882
Al 0.4831 0.4831 0.6775
Al 0.5169 0.5169 0.3225
Al 0.6772 0.6772 0.0118
Al 0.8334 0.8334 0.5647
Au 0.1128 0.1128 0.8225
Au 0.3365 0.3365 0.7430
Au 0.6635 0.6635 0.2570
Au 0.8872 0.8872 0.1775
CELL_PARAMETERS angstrom
7.5113 -2.0638 0.0000
7.5113 2.0638 0.0000
-5.3890 0.0000 8.2648
```

***

The following is a DFT calculation (PBE) of a relaxed structure of TlCo3W. Values from VASP.

Summary:
Total magnetization (μB per formula unit): 1.19
E_form (eV per atom): 1.390

Quantum ESPRESSO input file:
```
&SYSTEM
  ibrav = 0, nat = 5, ntyp = 3
/
ATOMIC_SPECIES
Tl 204.38 Tl.upf
Co 58.93 Co.upf
W 183.84 W.upf
ATOMIC_POSITIONS crystal
Tl 0.0000 0.0000 0.0000
Co 0.0000 0.5000 0.5000
Co 0.5000 0.0000 0.5000
Co 0.5000 0.5000 0.0000
W 0.5000 0.5000 0.5000
CELL_PARAMETERS angstrom
4.5096 0.0000 0.0000
0.0000 4.5096 0.0000
0.0000 0.0000 4.5096
```

***

Number 1: DOS at the Fermi energy 3.26 states/eV per cell. Number 2: DOS at the Fermi energy 5.11 states/eV per cell. Number 3: DOS at the Fermi energy 4.28 states/eV per cell. Number 4: DOS at the Fermi energy 7.52 states/eV per cell.